A relaxed structure of Tb12NdDy6. Source: Alexandria, functional PBE-GGA.

Results
DFT total energy: -79.67 eV per cell
Crystal system: trigonal
Calculated volume: 656.1 Å³/f.u.
Energy relative to the lowest polymorph listed for this composition: 284 meV/atom

Unit cell a=9.360 b=9.360 c=9.360 alpha=108.36 beta=108.36 gamma=108.36
Atoms (fractional coordinates):
Dy  0.751  0.320  0.320
Dy  0.249  0.680  0.680
Dy  0.680  0.680  0.249
Dy  0.320  0.320  0.751
Dy  0.320  0.751  0.320
Dy  0.680  0.249  0.680
Tb  0.626  0.626  0.838
Tb  0.109  0.500  0.891
Tb  0.626  0.838  0.626
Tb  0.838  0.626  0.626
Tb  0.109  0.891  0.500
Tb  0.891  0.109  0.500
Tb  0.500  0.891  0.109
Tb  0.374  0.162  0.374
Tb  0.500  0.109  0.891
Tb  0.891  0.500  0.109
Tb  0.162  0.374  0.374
Tb  0.374  0.374  0.162
Nd  0.000  0.000  0.000